# 1
## Sc2Hg2Au (GGA-PBE)

Data for a relaxed structure of Sc2Hg2Au.

Lattice parameters (Å, degrees): 8.164 8.164 8.164 151.97 151.97 40.05
Fractional coordinates of all 5 atoms:
Sc1 0.093 0.093 0.000
Sc2 0.907 0.907 0.000
Hg1 0.250 0.750 0.500
Hg2 0.750 0.250 0.500
Au1 0.500 0.500 0.000

**Formation enthalpy at 0 K**: -0.0806 eV/atom
**Total DFT energy (no corrections)**: -16.95 eV per cell
**V**: 120 Å³ per cell
**DOS at the Fermi energy**: 5.6 states/eV per cell
**Distance to the lowest polymorph of the same formula**: 355 meV/atom

=====

# 2
## Ta13W3 (GGA-PBE)

Data for a relaxed structure of Ta13W3.

Lattice parameters (Å, degrees): 6.553 6.589 6.589 89.78 90.00 90.00
Fractional coordinates of all 16 atoms:
Ta1 0.000 0.000 0.000
Ta2 0.000 0.508 0.508
Ta3 0.000 0.509 0.999
Ta4 0.000 0.999 0.509
Ta5 0.252 0.253 0.253
Ta6 0.253 0.252 0.758
Ta7 0.253 0.758 0.252
Ta8 0.500 0.000 0.510
Ta9 0.500 0.509 0.509
Ta10 0.500 0.510 0.000
Ta11 0.747 0.252 0.758
Ta12 0.747 0.758 0.252
Ta13 0.748 0.253 0.253
W1 0.252 0.756 0.756
W2 0.500 0.002 0.002
W3 0.748 0.756 0.756

**Formation enthalpy at 0 K**: -0.0332 eV/atom
**Total DFT energy (no corrections)**: -193.47 eV per cell
**V**: 284 Å³ per cell
**DOS at the Fermi energy**: 18.1 states/eV per cell

=====

# 3
## Mg2ScTc (GGA-PBE)

Data for a relaxed structure of Mg2ScTc.

Lattice parameters (Å, degrees): 3.338 3.338 7.137 90.00 90.00 90.00
Fractional coordinates of all 4 atoms:
Mg1 0.000 0.000 0.000
Mg2 0.500 0.500 0.279
Sc1 0.000 0.000 0.591
Tc1 0.500 0.500 0.780

**Formation enthalpy at 0 K**: 0.0331 eV/atom
**Total DFT energy (no corrections)**: -19.75 eV per cell
**V**: 80 Å³ per cell
**DOS at the Fermi energy**: 3.8 states/eV per cell
**Distance to the lowest polymorph of the same formula**: 16 meV/atom

=====

# 4
## HoNiSn (GGA-PBE)

Data for a relaxed structure of HoNiSn.

Lattice parameters (Å, degrees): 4.481 4.481 3.581 90.00 90.00 120.00
Fractional coordinates of all 3 atoms:
Ho1 0.000 0.000 0.000
Ni1 0.333 0.667 0.500
Sn1 0.667 0.333 0.500

**Formation enthalpy at 0 K**: -0.5983 eV/atom
**Total DFT energy (no corrections)**: -16.16 eV per cell
**V**: 62 Å³ per cell
**DOS at the Fermi energy**: 1.0 states/eV per cell

=====

# 5
## VGa2HRu (GGA-PBE)

Data for a relaxed structure of VGa2HRu.

Lattice parameters (Å, degrees): 4.788 4.788 3.120 90.00 90.00 90.00
Fractional coordinates of all 5 atoms:
V1 0.000 0.000 0.000
Ga1 0.000 0.500 0.000
Ga2 0.500 0.000 0.000
H1 0.000 0.000 0.500
Ru1 0.500 0.500 0.500

**Total DFT energy (no corrections)**: -25.25 eV per cell
**V**: 72 Å³ per cell
**DOS at the Fermi energy**: 2.7 states/eV per cell

=====

# 6
## Li2CaAg6 (GGA-PBE)

Data for a relaxed structure of Li2CaAg6.

Lattice parameters (Å, degrees): 8.875 8.875 4.693 90.00 90.00 66.78
Fractional coordinates of all 18 atoms:
Li1 0.130 0.302 0.250
Li2 0.302 0.130 0.750
Li3 0.698 0.870 0.250
Li4 0.870 0.698 0.750
Ca1 0.257 0.743 0.750
Ca2 0.743 0.257 0.250
Ag1 0.009 0.797 0.250
Ag2 0.131 0.451 0.750
Ag3 0.203 0.991 0.250
Ag4 0.311 0.490 0.250
Ag5 0.451 0.131 0.250
Ag6 0.490 0.311 0.750
Ag7 0.510 0.689 0.250
Ag8 0.549 0.869 0.750
Ag9 0.689 0.510 0.750
Ag10 0.797 0.009 0.750
Ag11 0.869 0.549 0.250
Ag12 0.991 0.203 0.750

**Formation enthalpy at 0 K**: -0.1261 eV/atom
**Total DFT energy (no corrections)**: -48.14 eV per cell
**V**: 340 Å³ per cell
**DOS at the Fermi energy**: 6.2 states/eV per cell
**Distance to the lowest polymorph of the same formula**: 0 meV/atom